This record from Alexandria via LeMat-Bulk describes an optimized crystal structure of RbSmCdSe3. The functional is PBE.

The structure belongs to space group P2_1/m (No. 11); the cell edges are 9.319, 4.346 and 10.427 Å and the angles 90.00°, 108.18° and 90.00°. The asymmetric unit holds Rb at (0.214, 0.250, 0.236), Sm at (0.329, 0.750, 0.865), Cd at (0.085, 0.250, 0.611), Se at (0.111, 0.250, 0.869), Se at (0.220, 0.750, 0.544) and Se at (0.466, 0.750, 0.152).

For the total energy, the calculation gives -4.181 eV per atom. The calculation puts the uncorrected formation energy at -1.34 eV/atom.

=====

This record from Alexandria via LeMat-Bulk describes an optimized crystal structure of Sm2HoNpAs4. The functional is PBE.

The structure belongs to space group P2/m (No. 10); the cell edges are 7.192, 4.151 and 7.201 Å and the angles 90.00°, 109.30° and 90.00°. The asymmetric unit holds Sm at (0.000, 0.000, 0.000), Sm at (0.500, 0.500, 0.000), Ho at (0.000, 0.500, 0.500), Np at (0.500, 0.000, 0.500), As at (0.249, 0.000, 0.741) and As at (0.254, 0.500, 0.259).

For the total energy, the calculation gives -7.002 eV per atom. Its energy of formation is -10.46 eV/f.u.

=====

This record from Alexandria via LeMat-Bulk describes an optimized crystal structure of KCd2As2. The functional is PBE.

The structure belongs to space group P4/mbm (No. 127); the cell edges are 8.580, 8.580 and 3.280 Å and the angles 90.00°, 90.00° and 90.00°. The asymmetric unit holds K at (0.000, 0.000, 0.000), Cd at (0.126, 0.374, 0.000) and As at (0.170, 0.670, 0.500).

For the total energy, the calculation gives -2.508 eV per atom. Its energy of formation is -0.31 eV/f.u. For the energy relative to the lowest polymorph listed for this composition, the calculation gives 217 meV per atom.

=====

This record from Alexandria via LeMat-Bulk describes an optimized crystal structure of BePbSe. The functional is PBE.

The structure belongs to space group Fmm2 (No. 42); the cell edges are 3.634, 6.620 and 12.388 Å and the angles 90.00°, 90.00° and 90.00°. The asymmetric unit holds Be at (0.000, 0.000, 0.000), Pb at (0.000, 0.000, 0.328) and Se at (0.000, 0.000, 0.584).

For the total energy, the calculation gives -3.659 eV per atom. The calculation puts the uncorrected formation energy at -0.02 eV/atom. For the energy relative to the lowest polymorph listed for this composition, the calculation gives 176 meV per atom.

=====

This record from Alexandria via LeMat-Bulk describes an optimized crystal structure of Ac5HoIn4. The functional is PBE.

The structure belongs to space group P4/mmm (No. 123); the cell edges are 4.055, 4.055 and 21.595 Å and the angles 90.00°, 90.00° and 90.00°. The asymmetric unit holds Ac at (0.000, 0.000, 0.000), Ac at (0.000, 0.000, 0.196), Ac at (0.000, 0.000, 0.389), Ho at (0.500, 0.500, 0.500), In at (0.500, 0.500, 0.098) and In at (0.500, 0.500, 0.294).

For the total energy, the calculation gives -3.913 eV per atom. Its energy of formation is -3.06 eV/f.u.

=====

This record from Alexandria via LeMat-Bulk describes an optimized crystal structure of MgZr2CrSb. The functional is PBE.

The structure belongs to space group P4/mmm (No. 123); the cell edges are 5.069, 5.069 and 4.673 Å and the angles 90.00°, 90.00° and 90.00°. The asymmetric unit holds Mg at (0.000, 0.000, 0.000), Zr at (0.000, 0.500, 0.000), Cr at (0.000, 0.000, 0.500) and Sb at (0.500, 0.500, 0.500).

For the total energy, the calculation gives -5.560 eV per atom. The calculation puts the uncorrected formation energy at 0.93 eV/atom.

=====

This record from Alexandria via LeMat-Bulk describes an optimized crystal structure of Tb5YHo3. The functional is PBE.

The structure belongs to space group C2/m (No. 12); the cell edges are 15.101, 11.444 and 9.869 Å and the angles 90.00°, 129.92° and 90.00°. The asymmetric unit holds Tb at (0.000, 0.243, 0.000), Tb at (0.148, 0.248, 0.748), Tb at (0.223, 0.500, 0.040), Tb at (0.225, 0.000, 0.233), Y at (0.248, 0.000, 0.596), Ho at (0.000, 0.000, 0.500), Ho at (0.000, 0.500, 0.000), Ho at (0.010, 0.000, 0.821) and Ho at (0.018, 0.500, 0.358).

For the total energy, the calculation gives -4.299 eV per atom. Its energy of formation is 4.66 eV/f.u. For the energy relative to the lowest polymorph listed for this composition, the calculation gives 283 meV per atom.

=====

This record from Alexandria via LeMat-Bulk describes an optimized crystal structure of CuTe3Se. The functional is PBE.

The structure belongs to space group Pm-3m (No. 221); the cell edges are 5.430, 5.430 and 5.430 Å and the angles 90.00°, 90.00° and 90.00°. The asymmetric unit holds Cu at (0.000, 0.000, 0.000), Te at (0.000, 0.500, 0.500) and Se at (0.500, 0.500, 0.500).

For the total energy, the calculation gives -2.569 eV per atom. The calculation puts the uncorrected formation energy at 0.83 eV/atom. For the energy relative to the lowest polymorph listed for this composition, the calculation gives 312 meV per atom.

=====

This record from Alexandria via LeMat-Bulk describes an optimized crystal structure of NdLuSnPb. The functional is PBE.

The structure belongs to space group F-43m (No. 216); the cell edges are 7.694, 7.694 and 7.694 Å and the angles 90.00°, 90.00° and 90.00°. The asymmetric unit holds Nd at (0.000, 0.000, 0.000), Lu at (0.000, 0.000, 0.500), Sn at (0.250, 0.250, 0.750) and Pb at (0.250, 0.250, 0.250).

For the total energy, the calculation gives -4.686 eV per atom. Its energy of formation is -1.75 eV/f.u.

=====

This record from Alexandria via LeMat-Bulk describes an optimized crystal structure of BaBCl2. The functional is PBE.

The structure belongs to space group I-42d (No. 122); the cell edges are 5.205, 5.205 and 18.254 Å and the angles 90.00°, 90.00° and 90.00°. The asymmetric unit holds Ba at (0.000, 0.000, 0.000), B at (0.000, 0.000, 0.500) and Cl at (0.214, 0.250, 0.625).

For the total energy, the calculation gives -3.382 eV per atom. The calculation puts the uncorrected formation energy at -0.31 eV/atom. For the energy relative to the lowest polymorph listed for this composition, the calculation gives 107 meV per atom.

=====

no.,DOS at the Fermi energy (states/eV/f.u.)
1,0.00
2,11.84
3,1.92
4,0.57
5,11.98
6,4.14
7,12.86
8,4.23
9,3.70
10,1.51